(1)
Density functional theory data (PBE-GGA) for a relaxed CaReO2F crystal.

Structure (extended XYZ):
```
5
Lattice="4.390 0.000 0.000 0.000 4.390 0.000 0.000 0.000 4.085" Properties=species:S:1:pos:R:3 pbc="T T T"
O 0.000 2.195 0.000
O 2.195 0.000 0.000
Re 2.195 2.195 2.042
F 0.000 0.000 2.042
Ca 0.000 0.000 0.000
```

Properties
The calculation puts the density at 5.850 Mg/m³. The calculation puts the formation energy from raw total energies at -0.3423 eV per atom. As for the space-group type: P4/mmm (123).



(2)
Density functional theory data (PBE-GGA) for a relaxed CaReO2F crystal.

Structure (extended XYZ):
```
5
Lattice="3.801 0.000 0.000 0.000 3.801 0.000 0.000 0.000 5.280" Properties=species:S:1:pos:R:3 pbc="T T T"
O 0.000 1.901 0.000
O 1.901 0.000 0.000
Ca 1.901 1.901 2.640
Re 0.000 0.000 0.000
F 0.000 0.000 2.640
```

Properties
The calculation puts the density at 6.035 Mg/m³. The calculation puts the formation energy from raw total energies at -1.7220 eV per atom. As for the space-group type: P4/mmm (123).



(3)
Density functional theory data (PBE-GGA) for a relaxed CaReOF2 crystal.

Structure (extended XYZ):
```
5
Lattice="-4.137 -1.574 0.580 1.212 -1.739 3.928 -0.992 3.247 1.744" Properties=species:S:1:pos:R:3 pbc="T T T"
F -2.068 -0.787 0.290
F 0.606 -0.870 1.964
Ca -1.958 -0.033 3.126
O -0.496 1.624 0.872
Re 0.000 0.000 0.000
```

Properties
The value obtained for the relative energy among the computed polymorphs is 0 meV per atom. The calculation puts the density at 6.119 Mg/m³. The calculation puts the formation energy from raw total energies at -1.4402 eV per atom. As for the space-group type: P4/mmm (123).



(4)
Density functional theory data (PBE-GGA) for a relaxed CaReOF2 crystal.

Structure (extended XYZ):
```
5
Lattice="-3.560 2.176 -0.326 -1.105 -1.231 3.845 2.152 3.795 1.833" Properties=species:S:1:pos:R:3 pbc="T T T"
Re -1.256 2.370 2.676
O 1.076 1.897 0.916
Ca 0.000 0.000 0.000
F -0.552 -0.615 1.922
F -1.780 1.088 -0.163
```

Properties
The value obtained for the relative energy among the computed polymorphs is 441 meV per atom. The calculation puts the density at 5.615 Mg/m³. The calculation puts the formation energy from raw total energies at -0.9994 eV per atom. As for the space-group type: P4/mmm (123).



(5)
Density functional theory data (PBE-GGA) for a relaxed CaReO4F crystal.

Structure (extended XYZ):
```
14
Lattice="-3.800 -4.624 -1.553 0.552 -3.967 4.711 -6.605 0.688 4.517" Properties=species:S:1:pos:R:3 pbc="T T T"
O -1.458 -2.451 3.023
O -8.395 -5.453 4.652
O -3.089 -2.697 0.676
O -6.542 -3.305 4.892
O -3.311 -4.599 2.783
O -5.578 -5.968 4.502
O -4.275 -1.936 3.173
O -6.764 -5.207 6.998
Ca -3.696 -6.944 3.296
Ca -6.157 -0.959 4.378
F -1.057 -0.356 0.771
F -8.796 -7.547 6.903
Re -6.818 -4.994 5.261
Re -3.035 -2.909 2.414
```

Properties
The calculation puts the density at 3.722 Mg/m³. The calculation puts the formation energy from raw total energies at -2.3726 eV per atom. As for the space-group type: C2/m (12).



(6)
Density functional theory data (PBE-GGA) for a relaxed CaRhO2F crystal.

Structure (extended XYZ):
```
5
Lattice="4.393 0.000 0.000 0.000 4.393 0.000 0.000 0.000 4.197" Properties=species:S:1:pos:R:3 pbc="T T T"
Ca 0.000 0.000 0.000
F 0.000 0.000 2.099
O 2.197 0.000 0.000
O 0.000 2.197 0.000
Rh 2.197 2.197 2.099
```

Properties
The calculation puts the density at 3.976 Mg/m³. The calculation puts the formation energy from raw total energies at -0.6068 eV per atom. As for the space-group type: P4/mmm (123).



(7)
Density functional theory data (PBE-GGA) for a relaxed CaRhO2F crystal.

Structure (extended XYZ):
```
5
Lattice="-2.731 1.017 -2.735 -2.804 -1.954 2.073 -0.841 3.466 2.129" Properties=species:S:1:pos:R:3 pbc="T T T"
Ca -3.188 1.265 0.733
O -1.402 -0.977 1.036
O -1.365 0.509 -1.368
F -0.421 1.733 1.064
Rh 0.000 0.000 0.000
```

Properties
The calculation puts the density at 4.855 Mg/m³. The calculation puts the formation energy from raw total energies at -1.5847 eV per atom. As for the space-group type: P4/mmm (123).



(8)
Density functional theory data (PBE-GGA) for a relaxed CaRuO2F crystal.

Structure (extended XYZ):
```
5
Lattice="-3.628 -1.259 1.007 1.563 -3.354 1.439 0.422 1.829 3.804" Properties=species:S:1:pos:R:3 pbc="T T T"
F 0.211 0.914 1.902
Ca -0.822 -1.392 3.125
O 0.782 -1.677 0.720
O -1.814 -0.629 0.504
Ru 0.000 0.000 0.000
```

Properties
The calculation puts the density at 4.771 Mg/m³. The calculation puts the formation energy from raw total energies at -1.6562 eV per atom. As for the space-group type: P4/mmm (123).



(9)
Density functional theory data (PBE-GGA) for a relaxed CaRuOF2 crystal.

Structure (extended XYZ):
```
5
Lattice="-3.775 1.769 0.488 -1.377 -1.994 -3.427 -1.338 -3.581 2.621" Properties=species:S:1:pos:R:3 pbc="T T T"
O -0.669 -1.791 1.311
F -1.888 0.884 0.244
F -0.689 -0.997 -1.714
Ca 0.000 0.000 0.000
Ru -3.246 -1.903 -0.159
```

Properties
The value obtained for the relative energy among the computed polymorphs is 409 meV per atom. The calculation puts the density at 3.967 Mg/m³. The calculation puts the formation energy from raw total energies at -1.2211 eV per atom. As for the space-group type: P4/mmm (123).



(10)
Density functional theory data (PBE-GGA) for a relaxed CaRuO2F crystal.

Structure (extended XYZ):
```
5
Lattice="-0.594 -3.662 2.307 -0.373 -2.277 -3.710 4.101 -0.668 -0.003" Properties=species:S:1:pos:R:3 pbc="T T T"
Ru 1.567 -3.303 -0.703
O -0.297 -1.831 1.154
O -0.187 -1.138 -1.855
Ca 0.000 0.000 0.000
F 2.051 -0.334 -0.002
```

Properties
The calculation puts the density at 4.023 Mg/m³. The calculation puts the formation energy from raw total energies at -0.5793 eV per atom. As for the space-group type: P4/mmm (123).



(11)
Density functional theory data (PBE-GGA) for a relaxed CaRuOF2 crystal.

Structure (extended XYZ):
```
5
Lattice="4.394 0.000 0.000 0.000 4.394 0.000 0.000 0.000 3.836" Properties=species:S:1:pos:R:3 pbc="T T T"
O 0.000 0.000 1.918
F 0.000 2.197 0.000
F 2.197 0.000 0.000
Ca 2.197 2.197 1.918
Ru 0.000 0.000 0.000
```

Properties
The value obtained for the relative energy among the computed polymorphs is 0 meV per atom. The calculation puts the density at 4.375 Mg/m³. The calculation puts the formation energy from raw total energies at -1.6304 eV per atom. As for the space-group type: P4/mmm (123).



(12)
Density functional theory data (PBE-GGA) for a relaxed CaRuO4F crystal.

Structure (extended XYZ):
```
14
Lattice="-6.058 -0.035 -0.883 -0.526 -2.413 -5.602 -1.872 -6.907 1.286" Properties=species:S:1:pos:R:3 pbc="T T T"
Ru -5.610 -6.612 -3.245
Ru -2.847 -2.743 -1.955
Ca -2.853 -6.513 -0.063
Ca -5.604 -2.842 -5.137
O -7.147 -7.072 -2.530
O -5.740 -5.131 -4.143
O -4.019 -2.926 -3.237
O -5.109 -7.948 -4.269
O -4.438 -6.429 -1.963
O -3.348 -1.408 -0.931
O -2.717 -4.225 -1.056
O -1.310 -2.284 -2.669
F -7.938 -8.111 -5.218
F -0.519 -1.245 0.019
```

Properties
The calculation puts the density at 2.935 Mg/m³. The calculation puts the formation energy from raw total energies at -1.6913 eV per atom. As for the space-group type: C2/m (12).



Question: density of number 12 (CaRuO4F)?
Answer: 2.935 Mg/m³



Question: Look up the density of the fifth one.
Answer: 3.722 Mg/m³



Question: Number 4 is which compound?
Answer: CaReOF2



Question: Look up the density of the fourth one.
Answer: 5.615 Mg/m³